13
Lattice="-0.2180 -8.9047 -3.3850 3.0820 -8.9967 0.5994 -2.0167 -9.1982 1.4577" Properties=species:S:1:pos:R:3 comment="Ta6Rh7 | Alexandria | PBE-GGA | optimized geometry" vol_a3_per_atom=16.1 dft_energy_ev_per_atom=-9.7923 dos_ef_per_ev_fu=13.7 pbc="T T T"
Rh 0.6066 -11.4589 0.9138
Rh 0.2407 -15.6407 -2.2417
Rh -1.0444 -11.4129 -1.0797
Rh 1.8917 -15.6868 -0.2482
Rh 0.4237 -13.5498 -0.6640
Rh 1.5066 -11.3120 -1.5092
Rh -0.6593 -15.7876 0.1812
Ta 0.7138 -22.8306 -1.1187
Ta 0.1335 -4.2690 -0.2092
Ta 0.0416 -1.3302 -0.0652
Ta 0.8057 -25.7694 -1.2628
Ta 0.5633 -18.0174 -0.8829
Ta 0.2840 -9.0822 -0.4450